The following is a PBE-GGA calculation of a geometry-optimized Hf2MnNi structure, from Alexandria via LeMat-Bulk.

Computed properties:
As for the density of states at the Fermi level: 4.7 states/eV/f.u. As for the formation energy: 632 meV/atom. The space group is Immm, No. 71. Its total energy is -8.083 eV per atom.

POSCAR file:
```
Hf2MnNi
1.0
-1.447 2.479 5.132
1.447 -2.479 5.132
1.447 2.479 -5.132
Hf Mn Ni
2 1 1
Direct
0.238 0.238 0.000
0.762 0.762 0.000
0.500 0.500 0.000
0.000 0.000 0.000
```

***

The following is a PBE-GGA calculation of a geometry-optimized Ac3La2Mg2Tl4 structure, from Alexandria via LeMat-Bulk.

Computed properties:
As for the density of states at the Fermi level: 11.4 states/eV/f.u. As for the formation energy: -220 meV/atom. The space group is P-3m1, No. 164. Its total energy is -3.386 eV per atom.

POSCAR file:
```
Ac3La2Mg2Tl4
1.0
5.159 0.000 0.000
-2.579 4.467 0.000
0.000 0.000 16.339
Ac La Mg Tl
3 2 2 4
Direct
0.000 0.000 0.000
0.000 0.000 0.254
0.000 0.000 0.746
0.333 0.667 0.556
0.667 0.333 0.444
0.333 0.667 0.128
0.667 0.333 0.872
0.333 0.667 0.353
0.333 0.667 0.883
0.667 0.333 0.117
0.667 0.333 0.647
```

***

The following is a PBE-GGA calculation of a geometry-optimized Cu2TcPb structure, from Alexandria via LeMat-Bulk.

Computed properties:
As for the density of states at the Fermi level: 3.7 states/eV/f.u. As for the formation energy: 501 meV/atom. The space group is P2/m, No. 10. Its total energy is -5.065 eV per atom.

POSCAR file:
```
Cu2TcPb
1.0
3.020 0.000 0.000
0.000 3.787 0.000
-0.026 0.000 5.728
Cu Tc Pb
2 1 1
Direct
0.002 0.000 0.211
0.998 0.000 0.789
0.500 0.500 0.000
0.500 0.500 0.500
```

***

The following is a PBE-GGA calculation of a geometry-optimized MgSn2Br8 structure, from Alexandria via LeMat-Bulk.

Computed properties:
The space group is C2/m, No. 12. Its total energy is -2.889 eV per atom. The value obtained for the raw formation energy is -800 meV/atom.

POSCAR file:
```
MgSn2Br8
1.0
6.741 -5.612 0.000
6.741 5.612 0.000
-1.160 0.000 6.507
Mg Sn Br
1 2 8
Direct
0.000 0.000 0.000
0.210 0.210 0.698
0.790 0.790 0.302
0.083 0.747 0.204
0.178 0.178 0.283
0.253 0.917 0.796
0.405 0.405 0.892
0.595 0.595 0.108
0.747 0.083 0.204
0.822 0.822 0.717
0.917 0.253 0.796
```

***

no.,calculated volume (Å³/atom)
1,18.41
2,34.23
3,16.38
4,44.76